Crystalline Tb12Ga3C5 at its relaxed geometry, computed with GGA-PBE.

abc: 13.6094 13.6094 13.6094
angles: 109.47 109.47 109.47
Positions (direct):
Ga (0.6250, 0.3750, 0.7500)
Ga (0.8750, 0.1250, 0.2500)
Ga (0.6250, 0.2500, 0.3750)
Ga (0.8750, 0.7500, 0.1250)
Ga (0.1250, 0.8750, 0.7500)
Ga (0.2500, 0.1250, 0.3750)
Ga (0.3750, 0.6250, 0.2500)
Ga (0.3750, 0.7500, 0.6250)
Ga (0.7500, 0.8750, 0.6250)
Ga (0.2500, 0.6250, 0.8750)
Ga (0.7500, 0.3750, 0.1250)
Ga (0.1250, 0.2500, 0.8750)
C (0.0000, 0.5000, 0.0000)
C (0.0000, 0.0000, 0.0000)
C (0.5000, 0.5000, 0.5000)
C (0.2500, 0.8750, 0.1250)
C (0.5000, 0.0000, 0.0000)
C (0.7500, 0.1250, 0.8750)
C (0.0000, 0.0000, 0.5000)
C (0.3750, 0.2500, 0.1250)
C (0.8750, 0.2500, 0.6250)
C (0.5000, 0.5000, 0.0000)
C (0.5000, 0.0000, 0.5000)
C (0.8750, 0.6250, 0.7500)
C (0.2500, 0.3750, 0.6250)
C (0.3750, 0.1250, 0.7500)
C (0.6250, 0.8750, 0.2500)
C (0.1250, 0.3750, 0.2500)
C (0.1250, 0.7500, 0.3750)
C (0.6250, 0.7500, 0.8750)
C (0.0000, 0.5000, 0.5000)
C (0.7500, 0.6250, 0.3750)
Tb (0.6186, 0.5949, 0.9140)
Tb (0.0237, 0.4051, 0.8191)
Tb (0.9140, 0.0949, 0.6186)
Tb (0.4140, 0.1186, 0.5949)
Tb (0.4763, 0.6809, 0.0949)
Tb (0.1186, 0.4140, 0.0949)
Tb (0.0860, 0.1809, 0.2046)
Tb (0.5949, 0.9763, 0.6809)
Tb (0.2046, 0.5237, 0.6186)
Tb (0.7954, 0.3191, 0.9140)
Tb (0.9140, 0.8191, 0.7954)
Tb (0.3814, 0.9763, 0.7954)
Tb (0.6809, 0.4763, 0.5949)
Tb (0.6186, 0.0237, 0.2046)
Tb (0.5860, 0.7046, 0.6809)
Tb (0.8191, 0.9140, 0.2954)
Tb (0.7046, 0.5860, 0.1809)
Tb (0.8814, 0.5860, 0.9051)
Tb (0.1186, 0.7046, 0.5237)
Tb (0.4763, 0.7954, 0.8814)
Tb (0.3191, 0.7954, 0.4140)
Tb (0.8814, 0.2954, 0.4763)
Tb (0.0949, 0.1809, 0.4763)
Tb (0.5237, 0.2046, 0.1186)
Tb (0.5237, 0.3191, 0.9051)
Tb (0.2046, 0.6809, 0.0860)
Tb (0.2954, 0.8814, 0.9763)
Tb (0.4051, 0.0237, 0.3191)
Tb (0.9763, 0.3814, 0.2954)
Tb (0.4051, 0.3814, 0.5860)
Tb (0.0237, 0.6186, 0.7046)
Tb (0.9051, 0.8191, 0.5237)
Tb (0.5949, 0.6186, 0.4140)
Tb (0.9051, 0.0860, 0.8814)
Tb (0.2954, 0.4140, 0.8191)
Tb (0.0949, 0.9140, 0.1186)
Tb (0.1809, 0.0949, 0.9763)
Tb (0.4140, 0.2954, 0.3191)
Tb (0.1809, 0.0860, 0.7046)
Tb (0.7046, 0.1186, 0.0237)
Tb (0.5860, 0.8814, 0.4051)
Tb (0.9763, 0.5949, 0.1809)
Tb (0.3814, 0.4051, 0.0860)
Tb (0.8191, 0.9051, 0.0237)
Tb (0.0860, 0.9051, 0.3814)
Tb (0.3191, 0.5237, 0.4051)
Tb (0.6809, 0.2046, 0.5860)
Tb (0.7954, 0.4763, 0.3814)

Results
* D(E_F): 0.503 states/eV per atom
* E_form: -0.21 eV/atom
* V: 24.3 Å³ per atom

Crystalline SrTbSm at its relaxed geometry, computed with GGA-PBE.

abc: 3.7533 3.7533 9.3523
angles: 90.00 90.00 120.00
Positions (direct):
Sm (0.3333, 0.6667, 0.6455)
Tb (0.6667, 0.3333, 0.3523)
Sr (0.0000, 0.0000, 0.0022)

Results
* relative energy among the computed polymorphs: 21 meV per atom
* D(E_F): 1.412 states/eV per atom
* E_form: 0.13 eV/atom
* V: 38.0 Å³ per atom

Crystalline Pr4RuPb2 at its relaxed geometry, computed with GGA-PBE.

abc: 4.8333 6.3618 8.0176
angles: 77.07 72.46 67.67
Positions (direct):
Pr (0.9365, 0.7791, 0.3480)
Pr (0.6654, 0.7198, 0.9494)
Pr (0.3346, 0.2802, 0.0506)
Pr (0.0635, 0.2209, 0.6520)
Pb (0.6607, 0.3457, 0.3328)
Pb (0.3393, 0.6543, 0.6672)
Ru (0.0000, 0.0000, 0.0000)

Results
* relative energy among the computed polymorphs: 0 meV per atom
* D(E_F): 0.764 states/eV per atom
* E_form: -0.41 eV/atom
* V: 30.8 Å³ per atom